[1]
Entry from Alexandria: ZrSi2Cl after structural relaxation (PBE).

```
ZrSi2Cl
1.0
0.000 3.359 3.359
3.359 0.000 3.359
3.359 3.359 0.000
Zr Si Cl
1 2 1
Cartesian
3.359 3.359 3.359
5.038 5.038 5.038
1.679 1.679 1.679
0.000 0.000 0.000
```

Properties
Formation energy from raw total energies (meV/atom): 430
Raw total energy (eV/atom): -4.880
SG: Fm-3m, No. 225
DOS(E_F) (states/eV per cell): 4.8
Energy relative to the lowest polymorph listed for this composition (meV/atom): 838.4
Calculated volume (Å³/cell): 76

=====

[2]
Entry from Alexandria: ZrSi2Cl after structural relaxation (PBE).

```
ZrSi2Cl
1.0
5.036 -0.020 -0.003
1.115 4.911 0.003
-2.412 -3.280 2.964
Cl Si Zr
1 2 1
Cartesian
0.884 2.034 1.484
5.924 4.711 0.000
3.067 -0.255 1.480
3.090 2.457 0.000
```

Properties
Formation energy from raw total energies (meV/atom): -211
Raw total energy (eV/atom): -5.521
SG: Imm2, No. 44
DOS(E_F) (states/eV per cell): 1.6
Energy relative to the lowest polymorph listed for this composition (meV/atom): 197.2
Calculated volume (Å³/cell): 73

=====

[3]
Entry from Alexandria: ZrSiCl after structural relaxation (PBE).

```
ZrSiCl
1.0
-0.501 -2.797 -1.642
2.958 0.654 1.262
-1.931 -3.323 6.249
Zr Si Cl
1 1 1
Cartesian
0.489 -2.760 4.552
-0.110 -2.958 1.791
-1.784 -3.070 5.774
```

Properties
Formation energy from raw total energies (meV/atom): -501
Raw total energy (eV/atom): -5.774
SG: P3m1, No. 156
DOS(E_F) (states/eV per cell): 2.2
Calculated volume (Å³/cell): 68

=====

[4]
Entry from Alexandria: ZrSi2Cl after structural relaxation (PBE).

```
ZrSi2Cl
1.0
8.726 0.000 0.000
0.000 8.726 0.000
4.363 4.363 2.403
Si Zr Cl
4 2 2
Cartesian
6.545 6.008 1.802
7.082 2.182 0.601
1.645 6.545 0.601
10.908 11.445 1.802
0.000 0.000 0.000
8.726 4.363 1.201
4.363 4.363 0.000
4.363 8.726 1.201
```

Properties
Formation energy from raw total energies (meV/atom): 56
Raw total energy (eV/atom): -5.254
SG: I-42d, No. 122
DOS(E_F) (states/eV per cell): 6.6
Energy relative to the lowest polymorph listed for this composition (meV/atom): 464.6
Calculated volume (Å³/cell): 183

=====

[5]
Entry from Alexandria: Zr2SiCl after structural relaxation (PBE).

```
Zr2SiCl
1.0
-0.287 -4.842 3.856
4.633 -3.246 2.529
-2.148 5.706 -1.103
Cl Zr Si
1 2 1
Cartesian
2.173 -4.044 3.192
2.329 -0.792 2.309
0.000 0.000 0.000
-0.132 -1.590 2.973
```

Properties
Formation energy from raw total energies (meV/atom): -246
Raw total energy (eV/atom): -6.338
SG: I-4m2, No. 119
DOS(E_F) (states/eV per cell): 3.7
Energy relative to the lowest polymorph listed for this composition (meV/atom): 476.6
Calculated volume (Å³/cell): 80

=====

[6]
Entry from Alexandria: Sm4Cl after structural relaxation (PBE).

```
Sm4Cl
1.0
5.417 0.000 0.000
0.000 5.417 0.000
0.000 0.000 5.417
Sm Cl
4 1
Cartesian
0.000 2.708 2.708
2.708 0.000 2.708
0.000 0.000 0.000
2.708 2.708 0.000
2.708 2.708 2.708
```

Properties
Formation energy from raw total energies (meV/atom): -490
Raw total energy (eV/atom): -4.635
SG: Pm-3m, No. 221
DOS(E_F) (states/eV per cell): 4.5
Calculated volume (Å³/cell): 159

=====

[7]
Entry from Alexandria: Sm2Cl3 after structural relaxation (PBE).

```
Sm2Cl3
1.0
6.384 0.000 0.000
3.192 5.528 0.000
3.192 1.843 7.621
Sm Cl
4 6
Cartesian
9.575 5.528 7.607
3.192 1.843 3.796
3.192 1.843 0.014
9.575 5.528 3.825
5.305 5.528 5.716
7.440 5.541 1.905
7.462 1.843 1.905
5.327 1.831 5.716
8.518 3.698 5.716
4.249 3.673 1.905
```

Properties
Formation energy from raw total energies (meV/atom): -1571
Raw total energy (eV/atom): -4.567
SG: R-3c, No. 167
DOS(E_F) (states/eV per cell): 7.7
Calculated volume (Å³/cell): 269

=====

[8]
Entry from Alexandria: SmCl4 after structural relaxation (PBE).

```
SmCl4
1.0
5.421 0.000 0.000
0.000 5.421 0.000
0.000 0.000 5.421
Cl Sm
4 1
Cartesian
2.710 0.000 2.710
0.000 0.000 0.000
0.000 2.710 2.710
2.710 2.710 0.000
2.710 2.710 2.710
```

Properties
Formation energy from raw total energies (meV/atom): -1494
Raw total energy (eV/atom): -3.915
SG: Pm-3m, No. 221
DOS(E_F) (states/eV per cell): 8.4
Calculated volume (Å³/cell): 159